Entry 1:
DFT (PBE) results for a relaxed Sr2CuHgS crystal.

Lattice parameters (Å, degrees): 5.785 4.388 5.785 90.00 90.00 90.00
Fractional coordinates of all 5 atoms:
Sr  0.000  0.000  0.500
Sr  0.500  0.000  0.000
S  0.000  0.000  0.000
Hg  0.500  0.500  0.500
Cu  0.000  0.500  0.000

Results
space group = P4/mmm, No. 123
N(E_F) = 2.86 states/eV per cell
formation energy (no corrections) = -3.35 eV/f.u.
energy = -3.05 eV/atom

Entry 2:
DFT (PBE) results for a relaxed CuHg2TeS4 crystal.

Lattice parameters (Å, degrees): 6.342 7.635 8.483 90.00 90.00 90.00
Fractional coordinates of all 16 atoms:
Cu  0.488  0.806  0.500
Cu  0.988  0.194  0.000
Hg  0.499  0.344  0.278
Hg  0.499  0.344  0.722
Hg  0.999  0.656  0.778
Hg  0.999  0.656  0.222
Te  0.983  0.093  0.500
Te  0.483  0.907  0.000
S  0.355  0.208  0.000
S  0.855  0.792  0.500
S  0.376  0.100  0.500
S  0.876  0.900  0.000
S  0.400  0.667  0.729
S  0.900  0.333  0.229
S  0.900  0.333  0.771
S  0.400  0.667  0.271

Results
space group = Pmn2_1, No. 31
N(E_F) = 6.47 states/eV per cell
formation energy (no corrections) = 0.32 eV/f.u.
energy = -3.00 eV/atom

Entry 3:
DFT (PBE) results for a relaxed TiCuHgS3 crystal.

Lattice parameters (Å, degrees): 3.542 12.810 8.038 130.01 90.00 90.00
Fractional coordinates of all 12 atoms:
Ti  0.250  0.680  0.143
Ti  0.750  0.320  0.857
Cu  0.250  0.094  0.628
Cu  0.750  0.906  0.372
Hg  0.250  0.380  0.423
Hg  0.750  0.620  0.577
S  0.750  0.736  0.004
S  0.250  0.264  0.996
S  0.250  0.871  0.515
S  0.750  0.129  0.485
S  0.750  0.571  0.206
S  0.250  0.429  0.794

Results
space group = P2_1/m, No. 11
N(E_F) = 3.84 states/eV per cell
formation energy (no corrections) = -3.99 eV/f.u.
energy = -4.78 eV/atom

Entry 4:
DFT (PBE) results for a relaxed UCuHg2S6 crystal.

Lattice parameters (Å, degrees): 6.708 6.194 7.029 67.34 61.58 66.17
Fractional coordinates of all 10 atoms:
U  0.316  0.316  0.051
Cu  0.817  0.814  0.553
Hg  0.543  0.681  0.224
Hg  0.090  0.952  0.880
S  0.526  0.265  0.285
S  0.136  0.980  0.377
S  0.938  0.634  0.265
S  0.496  0.652  0.725
S  0.695  0.998  0.838
S  0.104  0.369  0.817

Results
space group = P1, No. 1
N(E_F) = 5.58 states/eV per cell
formation energy (no corrections) = -3.76 eV/f.u.
energy = -4.45 eV/atom

Entry 5:
DFT (PBE) results for a relaxed VCu2HgS crystal.

Lattice parameters (Å, degrees): 4.186 6.495 4.186 90.00 90.00 90.00
Fractional coordinates of all 5 atoms:
S  0.000  0.000  0.000
Hg  0.000  0.500  0.000
Cu  0.000  0.000  0.500
Cu  0.500  0.000  0.000
V  0.500  0.500  0.500

Results
space group = P4/mmm, No. 123
N(E_F) = 4.80 states/eV per cell
formation energy (no corrections) = 3.17 eV/f.u.
energy = -3.71 eV/atom

Entry 6:
DFT (PBE) results for a relaxed VCuHgS2 crystal.

Lattice parameters (Å, degrees): 5.036 4.731 5.036 90.00 90.00 90.00
Fractional coordinates of all 5 atoms:
S  0.000  0.000  0.500
S  0.500  0.000  0.000
Hg  0.000  0.000  0.000
Cu  0.000  0.500  0.000
V  0.500  0.500  0.500

Results
space group = P4/mmm, No. 123
N(E_F) = 4.90 states/eV per cell
formation energy (no corrections) = 5.31 eV/f.u.
energy = -3.29 eV/atom

Spin magnetization across the listed records, respectively: 0.0 0.0 0.0 0.0 4.0 3.1 μB/f.u..